No. 1
A relaxed structure of CsKRbNa2, computed with GGA-PBE.

abc: 7.2147 7.2147 7.6235
angles: 90.00 90.00 90.00
Last column: nearest neighbours and their distance in Å.
Positions (direct):
Cs1 0.0000 0.0000 0.0000  4 Rb 5.10, 8 Na 5.25
K1 0.5000 0.5000 0.5000  4 Na 3.61, 2 Rb 3.81
Rb1 0.5000 0.5000 0.0000  2 K 3.81
Na1 0.0000 0.5000 0.5000  2 K 3.61
Na2 0.5000 0.0000 0.5000  2 K 3.61

Computed properties:
The total energy is -0.94 eV/atom. The total magnetic moment comes out at 0.0 μB/f.u. Its symmetry is P4/mmm. For the energy relative to the lowest polymorph listed for this composition, the calculation gives 119 meV/atom. The energy of formation from the pure elements is 0.87 eV per formula unit.

No. 2
A relaxed structure of CsK2Rb2Na2, computed with GGA-PBE.

abc: 11.3917 11.3917 11.3917
angles: 37.32 37.32 37.32
Last column: nearest neighbours and their distance in Å.
Positions (direct):
Cs1 0.0000 0.0000 0.0000  6 K 4.48, 2 Rb 4.55
K1 0.2854 0.2854 0.2854  3 Cs 4.48, 4 Na 4.48-4.57, 1 Rb 4.51
K2 0.7146 0.7146 0.7146  3 Cs 4.48, 4 Na 4.48-4.57, 1 Rb 4.51
Rb1 0.1434 0.1434 0.1434  3 Rb 4.46, 3 Na 4.47, 1 K 4.51, 1 Cs 4.55
Rb2 0.8566 0.8566 0.8566  3 Rb 4.46, 3 Na 4.47, 1 K 4.51, 1 Cs 4.55
Na1 0.4292 0.4292 0.4292  3 Rb 4.47, 4 K 4.48-4.57, 1 Na 4.49
Na2 0.5708 0.5708 0.5708  3 Rb 4.47, 4 K 4.48-4.57, 1 Na 4.49

Computed properties:
The total energy is -1.05 eV/atom. The total magnetic moment comes out at 0.0 μB/f.u. Its symmetry is R-3m. The energy of formation from the pure elements is 0.29 eV per formula unit.

No. 3
A relaxed structure of CsK2Rb6Na2, computed with GGA-PBE.

abc: 8.4664 8.5252 12.8951
angles: 75.35 77.49 78.83
Last column: nearest neighbours and their distance in Å.
Positions (direct):
Cs1 0.0000 0.0000 0.0000  4 K 4.85-4.90, 8 Rb 4.91-5.27
K1 0.4763 0.2876 0.9119  1 Na 4.15
K2 0.5237 0.7124 0.0881  1 Na 4.15
Rb1 0.0440 0.4088 0.1965  1 Na 4.29, 2 Rb 4.73-4.80, 1 K 4.75
Rb2 0.1040 0.7824 0.4039  3 Na 4.33-4.44, 2 Rb 4.80-4.82
Rb3 0.4561 0.8388 0.6863  3 Na 4.33-4.64, 1 Rb 4.73
Rb4 0.5439 0.1612 0.3137  3 Na 4.33-4.64, 1 Rb 4.73
Rb5 0.8960 0.2176 0.5961  3 Na 4.33-4.44, 2 Rb 4.80-4.82
Rb6 0.9560 0.5912 0.8035  1 Na 4.29, 2 Rb 4.73-4.80, 1 K 4.75
Na1 0.3663 0.3691 0.6026  1 Na 3.67
Na2 0.6337 0.6309 0.3974  1 Na 3.67

Computed properties:
The total energy is -1.03 eV/atom. The total magnetic moment comes out at 0.0 μB/f.u. Its symmetry is P-1. The energy of formation from the pure elements is 0.22 eV per formula unit.